(1)
A plane-wave DFT calculation with PBE-GGA was carried out for an optimized crystal structure of TbSmRh.

Unit cell a=7.218 b=6.530 c=6.815 alpha=94.94 beta=90.00 gamma=90.00
Sites, in units of the cell vectors:
Rh 0.546 0.706 0.291
Rh 0.954 0.706 0.791
Rh 0.046 0.294 0.209
Rh 0.454 0.294 0.709
Sm 0.891 0.898 0.231
Sm 0.609 0.898 0.731
Sm 0.391 0.102 0.269
Sm 0.109 0.102 0.769
Tb 0.260 0.570 0.003
Tb 0.240 0.570 0.503
Tb 0.760 0.430 0.497
Tb 0.740 0.430 0.997

Output
**Energy of formation from the pure elements**: -620 meV per atom
**Fermi-level density of states**: 0.95 states/eV/atom
**Energy above the most stable polymorph in this dataset**: 0.00 eV/f.u.

=====

(2)
A plane-wave DFT calculation with PBE-GGA was carried out for an optimized crystal structure of Tb2SmRh4.

Unit cell a=4.706 b=4.706 c=6.728 alpha=90.00 beta=90.00 gamma=90.00
Sites, in units of the cell vectors:
Tb 0.000 0.000 0.000
Tb 0.500 0.500 0.500
Sm 0.500 0.500 0.000
Rh 0.500 0.000 0.258
Rh 0.000 0.500 0.742
Rh 0.500 0.000 0.742
Rh 0.000 0.500 0.258

Output
**Energy of formation from the pure elements**: -398 meV per atom
**Fermi-level density of states**: 0.73 states/eV/atom

=====

(3)
A plane-wave DFT calculation with PBE-GGA was carried out for an optimized crystal structure of TbSm2Rh.

Unit cell a=3.573 b=3.573 c=8.690 alpha=90.00 beta=90.00 gamma=90.00
Sites, in units of the cell vectors:
Rh 0.500 0.500 0.000
Tb 0.500 0.500 0.500
Sm 0.000 0.000 0.809
Sm 0.000 0.000 0.191

Output
**Energy of formation from the pure elements**: -312 meV per atom
**Fermi-level density of states**: 1.29 states/eV/atom
**Energy above the most stable polymorph in this dataset**: 0.65 eV/f.u.

=====

(4)
A plane-wave DFT calculation with PBE-GGA was carried out for an optimized crystal structure of Tb2SmRh.

Unit cell a=3.818 b=6.325 c=9.553 alpha=90.00 beta=90.00 gamma=107.58
Sites, in units of the cell vectors:
Tb 0.139 0.278 0.432
Tb 0.861 0.722 0.568
Tb 0.861 0.722 0.932
Tb 0.139 0.278 0.068
Sm 0.423 0.847 0.250
Sm 0.577 0.153 0.750
Rh 0.741 0.481 0.250
Rh 0.259 0.519 0.750

Output
**Energy of formation from the pure elements**: -467 meV per atom
**Fermi-level density of states**: 1.28 states/eV/atom
**Energy above the most stable polymorph in this dataset**: 0.12 eV/f.u.

=====

(5)
A plane-wave DFT calculation with PBE-GGA was carried out for an optimized crystal structure of Tb2SmRh.

Unit cell a=3.518 b=3.518 c=8.698 alpha=90.00 beta=90.00 gamma=90.00
Sites, in units of the cell vectors:
Rh 0.500 0.500 0.000
Tb 0.000 0.000 0.812
Tb 0.000 0.000 0.188
Sm 0.500 0.500 0.500

Output
**Energy of formation from the pure elements**: -394 meV per atom
**Fermi-level density of states**: 1.12 states/eV/atom
**Energy above the most stable polymorph in this dataset**: 0.42 eV/f.u.

=====

(6)
A plane-wave DFT calculation with PBE-GGA was carried out for an optimized crystal structure of TbSm5Rh6.

Unit cell a=4.957 b=6.918 c=7.844 alpha=90.00 beta=71.47 gamma=90.00
Sites, in units of the cell vectors:
Tb 0.000 0.000 0.000
Rh 0.835 0.751 0.330
Rh 0.835 0.249 0.330
Rh 0.500 0.246 0.000
Rh 0.500 0.754 0.000
Rh 0.165 0.751 0.670
Rh 0.165 0.249 0.670
Sm 0.667 0.500 0.667
Sm 0.334 0.000 0.333
Sm 0.000 0.500 0.000
Sm 0.666 0.000 0.667
Sm 0.333 0.500 0.333

Output
**Energy of formation from the pure elements**: -739 meV per atom
**Fermi-level density of states**: 0.63 states/eV/atom

=====

(7)
A plane-wave DFT calculation with PBE-GGA was carried out for an optimized crystal structure of TbSmRh.

Unit cell a=4.263 b=4.551 c=4.551 alpha=120.00 beta=90.00 gamma=90.00
Sites, in units of the cell vectors:
Rh 0.987 0.000 0.000
Tb 0.741 0.667 0.333
Sm 0.272 0.333 0.667

Output
**Energy of formation from the pure elements**: -387 meV per atom
**Fermi-level density of states**: 0.79 states/eV/atom
**Energy above the most stable polymorph in this dataset**: 0.70 eV/f.u.

=====

(8)
A plane-wave DFT calculation with PBE-GGA was carried out for an optimized crystal structure of Tb2Sm3Rh2.

Unit cell a=3.863 b=6.400 c=8.999 alpha=114.50 beta=90.00 gamma=107.57
Sites, in units of the cell vectors:
Tb 0.831 0.662 0.189
Tb 0.169 0.338 0.811
Sm 0.500 0.000 0.000
Sm 0.614 0.229 0.428
Sm 0.386 0.771 0.572
Rh 0.818 0.636 0.758
Rh 0.182 0.364 0.242

Output
**Energy of formation from the pure elements**: -520 meV per atom
**Fermi-level density of states**: 0.93 states/eV/atom